Here is a relaxed Na3RhCl6 crystal from the Alexandria database. Energies are from PBE.

a b c (Å): 11.2289 11.2289 13.6154
angles (deg): 90.00 90.00 120.00
Space group R-3 (No. 148, hexagonal axes)
Unique sites:
Na 0.0568 0.2692 0.2016 [18 per cell]
Rh 0.0000 0.0000 0.0000 [3 per cell]
Rh 0.0000 0.0000 0.5000 [3 per cell]
Cl 0.0178 0.1841 0.4024 [18 per cell]
Cl 0.0399 0.1874 0.8972 [18 per cell]

## Properties
E_tot ... -0.261 Ry per atom
Energy relative to the elements, uncorrected ... -126.9 kJ per mole of atoms